The following is a PBE calculation of a geometry-optimized YMgBi3 structure, from the Alexandria database.

Results
space group = Pm-3m (221)
spin magnetization = 0.0 μB/f.u.
DOS(E_F) = 4.37 states/eV/f.u.
energy of formation = 0.217 eV/atom

Unit cell a=5.489 b=5.489 c=5.489 alpha=90.00 beta=90.00 gamma=90.00
Atoms (fractional coordinates):
Y: 0.000 0.000 0.000
Mg: 0.500 0.500 0.500
Bi: 0.000 0.500 0.500
Bi: 0.500 0.000 0.500
Bi: 0.500 0.500 0.000

***

The following is a PBE calculation of a geometry-optimized Be3HPb structure, from the Alexandria database.

Results
space group = Pm-3m (221)
spin magnetization = 0.0 μB/f.u.
DOS(E_F) = 1.07 states/eV/f.u.
raw total energy = -2.883 eV per atom

Unit cell a=3.871 b=3.871 c=3.871 alpha=90.00 beta=90.00 gamma=90.00
Atoms (fractional coordinates):
Be: 0.000 0.000 0.500
Be: 0.000 0.500 0.000
Be: 0.500 0.000 0.000
H: 0.000 0.000 0.000
Pb: 0.500 0.500 0.500

***

The following is a PBE calculation of a geometry-optimized GaSi2PbO6 structure, from the Alexandria database.

Results
space group = C2/c (15)
spin magnetization = 1.0 μB/f.u.
DOS(E_F) = 0.18 states/eV/f.u.
formation energy from raw total energies = -2043 meV/atom

Unit cell a=7.285 b=7.285 c=5.510 alpha=101.91 beta=101.91 gamma=85.40
Atoms (fractional coordinates):
Ga: 0.176 0.824 0.750
Ga: 0.824 0.176 0.250
Si: 0.151 0.341 0.720
Si: 0.341 0.151 0.220
Si: 0.659 0.849 0.780
Si: 0.849 0.659 0.280
Pb: 0.359 0.641 0.250
Pb: 0.641 0.359 0.750
O: 0.069 0.712 0.368
O: 0.186 0.565 0.816
O: 0.254 0.257 0.474
O: 0.257 0.254 0.974
O: 0.288 0.931 0.132
O: 0.435 0.814 0.684
O: 0.565 0.186 0.316
O: 0.712 0.069 0.868
O: 0.743 0.746 0.026
O: 0.746 0.743 0.526
O: 0.814 0.435 0.184
O: 0.931 0.288 0.632

***

The following is a PBE calculation of a geometry-optimized HoPuFe2 structure, from the Alexandria database.

Results
space group = P4/mmm (123)
spin magnetization = 1.9 μB/f.u.
DOS(E_F) = 7.33 states/eV/f.u.
energy of formation = 0.031 eV/atom

Unit cell a=3.315 b=3.315 c=6.718 alpha=90.00 beta=90.00 gamma=90.00
Atoms (fractional coordinates):
Ho: 0.000 0.000 0.000
Pu: 0.000 0.000 0.500
Fe: 0.500 0.500 0.285
Fe: 0.500 0.500 0.715

***

The following is a PBE calculation of a geometry-optimized ZnOs3Ru structure, from the Alexandria database.

Results
space group = Pm-3m (221)
spin magnetization = 0.0 μB/f.u.
DOS(E_F) = 5.63 states/eV/f.u.
energy of formation = 2.293 eV/atom

Unit cell a=4.657 b=4.657 c=4.657 alpha=90.00 beta=90.00 gamma=90.00
Atoms (fractional coordinates):
Zn: 0.000 0.000 0.000
Os: 0.000 0.500 0.500
Os: 0.500 0.000 0.500
Os: 0.500 0.500 0.000
Ru: 0.500 0.500 0.500

***

The following is a PBE calculation of a geometry-optimized PPbSe4 structure, from the Alexandria database.

Results
space group = F-43m (216)
spin magnetization = 0.0 μB/f.u.
DOS(E_F) = 2.68 states/eV/f.u.
formation energy from raw total energies = 641 meV/atom

Unit cell a=5.764 b=5.764 c=5.764 alpha=60.00 beta=60.00 gamma=60.00
Atoms (fractional coordinates):
P: 0.000 0.000 0.000
Pb: 0.750 0.750 0.750
Se: 0.374 0.374 0.374
Se: 0.374 0.374 0.878
Se: 0.374 0.878 0.374
Se: 0.878 0.374 0.374

***

The following is a PBE calculation of a geometry-optimized LiMnP2Ir structure, from the Alexandria database.

Results
space group = I-4m2 (119)
spin magnetization = 0.9 μB/f.u.
DOS(E_F) = 2.78 states/eV/f.u.
energy of formation = -0.577 eV/atom

Unit cell a=5.389 b=5.389 c=5.389 alpha=137.09 beta=137.09 gamma=62.31
Atoms (fractional coordinates):
Li: 0.000 0.000 0.000
Mn: 0.750 0.250 0.500
P: 0.378 0.378 0.000
P: 0.622 0.622 0.000
Ir: 0.250 0.750 0.500

***

The following is a PBE calculation of a geometry-optimized Pr4Pb5 structure, from the Alexandria database.

Results
space group = P6_3/mcm (193)
spin magnetization = 0.0 μB/f.u.
DOS(E_F) = 8.85 states/eV/f.u.
energy of formation = -0.476 eV/atom

Unit cell a=9.834 b=9.834 c=6.719 alpha=90.00 beta=90.00 gamma=120.00
Atoms (fractional coordinates):
Pr: 0.000 0.000 0.000
Pr: 0.000 0.000 0.500
Pr: 0.000 0.379 0.250
Pr: 0.000 0.621 0.750
Pr: 0.379 0.000 0.250
Pr: 0.379 0.379 0.750
Pr: 0.621 0.000 0.750
Pr: 0.621 0.621 0.250
Pb: 0.000 0.292 0.750
Pb: 0.000 0.708 0.250
Pb: 0.292 0.000 0.750
Pb: 0.292 0.292 0.250
Pb: 0.333 0.667 0.000
Pb: 0.333 0.667 0.500
Pb: 0.667 0.333 0.000
Pb: 0.667 0.333 0.500
Pb: 0.708 0.000 0.250
Pb: 0.708 0.708 0.750

***

The following is a PBE calculation of a geometry-optimized Er2CdIn9 structure, from the Alexandria database.

Results
space group = P4/mmm (123)
spin magnetization = 0.0 μB/f.u.
DOS(E_F) = 5.63 states/eV/f.u.
energy of formation = -0.213 eV/atom

Unit cell a=4.663 b=4.663 c=13.896 alpha=90.00 beta=90.00 gamma=90.00
Atoms (fractional coordinates):
Er: 0.000 0.000 0.164
Er: 0.000 0.000 0.836
Cd: 0.000 0.000 0.500
In: 0.000 0.500 0.000
In: 0.000 0.500 0.335
In: 0.000 0.500 0.665
In: 0.500 0.000 0.000
In: 0.500 0.000 0.335
In: 0.500 0.000 0.665
In: 0.500 0.500 0.165
In: 0.500 0.500 0.500
In: 0.500 0.500 0.835

***

The following is a PBE calculation of a geometry-optimized MnRe structure, from the Alexandria database.

Results
space group = P6_3/mmc (194)
spin magnetization = 1.8 μB/f.u.
DOS(E_F) = 2.19 states/eV/f.u.
energy of formation = 0.879 eV/atom

Unit cell a=3.790 b=3.790 c=5.114 alpha=90.00 beta=90.00 gamma=120.00
Atoms (fractional coordinates):
Mn: 0.333 0.667 0.250
Mn: 0.667 0.333 0.750
Re: 0.000 0.000 0.000
Re: 0.000 0.000 0.500

***

The following is a PBE calculation of a geometry-optimized ZrTlNiPd structure, from the Alexandria database.

Results
space group = F-43m (216)
spin magnetization = 0.0 μB/f.u.
DOS(E_F) = 3.54 states/eV/f.u.
energy of formation = -0.302 eV/atom

Unit cell a=4.632 b=4.632 c=4.632 alpha=60.00 beta=60.00 gamma=60.00
Atoms (fractional coordinates):
Zr: 0.000 0.000 0.000
Tl: 0.500 0.500 0.500
Ni: 0.250 0.250 0.250
Pd: 0.750 0.750 0.750

***

The following is a PBE calculation of a geometry-optimized Mg2FeTc structure, from the Alexandria database.

Results
space group = I4/mmm (139)
spin magnetization = 3.2 μB/f.u.
DOS(E_F) = 2.76 states/eV/f.u.
energy of formation = 0.306 eV/atom

Unit cell a=5.008 b=5.008 c=5.008 alpha=134.66 beta=134.66 gamma=66.06
Atoms (fractional coordinates):
Mg: 0.250 0.750 0.500
Mg: 0.750 0.250 0.500
Fe: 0.000 0.000 0.000
Tc: 0.500 0.500 0.000

***

The following is a PBE calculation of a geometry-optimized Tm7Ag2Te2 structure, from the Alexandria database.

Results
space group = C2/m (12)
spin magnetization = 0.0 μB/f.u.
DOS(E_F) = 12.78 states/eV/f.u.
formation energy from raw total energies = -221 meV/atom

Unit cell a=6.628 b=6.628 c=7.544 alpha=90.06 beta=90.06 gamma=73.65
Atoms (fractional coordinates):
Tm: 0.000 0.000 0.000
Tm: 0.000 0.499 0.287
Tm: 0.000 0.501 0.713
Tm: 0.499 0.000 0.287
Tm: 0.500 0.500 0.278
Tm: 0.500 0.500 0.722
Tm: 0.501 0.000 0.713
Ag: 0.180 0.820 0.500
Ag: 0.820 0.180 0.500
Te: 0.286 0.286 0.000
Te: 0.714 0.714 0.000

***

The following is a PBE calculation of a geometry-optimized ThMgGa2 structure, from the Alexandria database.

Results
space group = Pnma (62)
spin magnetization = 0.0 μB/f.u.
DOS(E_F) = 1.29 states/eV/f.u.
energy of formation = -0.451 eV/atom

Unit cell a=14.310 b=4.318 c=11.558 alpha=90.00 beta=90.00 gamma=90.00
Atoms (fractional coordinates):
Th: 0.055 0.250 0.239
Th: 0.198 0.750 0.955
Th: 0.302 0.250 0.455
Th: 0.445 0.750 0.739
Th: 0.555 0.250 0.261
Th: 0.698 0.750 0.545
Th: 0.802 0.250 0.045
Th: 0.945 0.750 0.761
Mg: 0.061 0.250 0.550
Mg: 0.194 0.750 0.657
Mg: 0.306 0.250 0.157
Mg: 0.439 0.750 0.050
Mg: 0.561 0.250 0.950
Mg: 0.694 0.750 0.843
Mg: 0.806 0.250 0.343
Mg: 0.939 0.750 0.450
Ga: 0.037 0.250 0.971
Ga: 0.108 0.250 0.776
Ga: 0.134 0.750 0.434
Ga: 0.213 0.750 0.241
Ga: 0.287 0.250 0.741
Ga: 0.366 0.250 0.934
Ga: 0.392 0.750 0.276
Ga: 0.463 0.750 0.471
Ga: 0.537 0.250 0.529
Ga: 0.608 0.250 0.724
Ga: 0.634 0.750 0.066
Ga: 0.713 0.750 0.259
Ga: 0.787 0.250 0.759
Ga: 0.866 0.250 0.566
Ga: 0.892 0.750 0.224
Ga: 0.963 0.750 0.029

***

The following is a PBE calculation of a geometry-optimized Rb2SrAl structure, from the Alexandria database.

Results
space group = Fm-3m (225)
spin magnetization = 1.1 μB/f.u.
DOS(E_F) = 3.03 states/eV/f.u.
energy of formation = 0.467 eV/atom

Unit cell a=6.577 b=6.577 c=6.577 alpha=60.00 beta=60.00 gamma=60.00
Atoms (fractional coordinates):
Rb: 0.250 0.250 0.250
Rb: 0.750 0.750 0.750
Sr: 0.000 0.000 0.000
Al: 0.500 0.500 0.500

***

The following is a PBE calculation of a geometry-optimized KFeW structure, from the Alexandria database.

Results
space group = I4mm (107)
spin magnetization = 1.2 μB/f.u.
DOS(E_F) = 3.05 states/eV/f.u.
energy of formation = 0.991 eV/atom

Unit cell a=7.333 b=7.333 c=7.333 alpha=156.12 beta=156.12 gamma=34.02
Atoms (fractional coordinates):
K: 0.000 0.000 0.000
Fe: 0.305 0.305 0.000
W: 0.725 0.725 0.000

***

The following is a PBE calculation of a geometry-optimized MgCu2Se2 structure, from the Alexandria database.

Results
space group = P-3m1 (164)
spin magnetization = 0.0 μB/f.u.
DOS(E_F) = 0.06 states/eV/f.u.
formation energy from raw total energies = -497 meV/atom

Unit cell a=3.977 b=3.977 c=6.645 alpha=90.00 beta=90.00 gamma=120.00
Atoms (fractional coordinates):
Mg: 0.000 0.000 0.000
Cu: 0.333 0.667 0.401
Cu: 0.667 0.333 0.599
Se: 0.333 0.667 0.770
Se: 0.667 0.333 0.230

***

The following is a PBE calculation of a geometry-optimized B2C structure, from the Alexandria database.

Results
space group = P2_1/m (11)
spin magnetization = 0.0 μB/f.u.
DOS(E_F) = 0.73 states/eV/f.u.
energy of formation = 0.379 eV/atom

Unit cell a=5.063 b=2.586 c=6.499 alpha=90.00 beta=106.51 gamma=90.00
Atoms (fractional coordinates):
B: 0.072 0.250 0.429
B: 0.164 0.250 0.185
B: 0.210 0.750 0.845
B: 0.424 0.250 0.767
B: 0.576 0.750 0.233
B: 0.790 0.250 0.155
B: 0.836 0.750 0.815
B: 0.928 0.750 0.571
C: 0.261 0.750 0.098
C: 0.421 0.250 0.513
C: 0.579 0.750 0.487
C: 0.739 0.250 0.902

***

The following is a PBE calculation of a geometry-optimized Ac3Nd2Dy7 structure, from the Alexandria database.

Results
space group = P-1 (2)
spin magnetization = 0.0 μB/f.u.
DOS(E_F) = 18.99 states/eV/f.u.
energy of formation = 0.247 eV/atom

Unit cell a=3.782 b=5.794 c=20.497 alpha=90.02 beta=95.29 gamma=90.00
Atoms (fractional coordinates):
Ac: 0.000 0.000 0.000
Ac: 0.322 0.500 0.644
Ac: 0.678 0.500 0.356
Nd: 0.138 0.000 0.277
Nd: 0.862 0.000 0.723
Dy: 0.083 0.500 0.167
Dy: 0.217 0.000 0.433
Dy: 0.430 0.000 0.860
Dy: 0.500 0.500 0.000
Dy: 0.570 0.000 0.140
Dy: 0.783 0.000 0.567
Dy: 0.917 0.500 0.833

***

The following is a PBE calculation of a geometry-optimized SiClO2 structure, from the Alexandria database.

Results
space group = R-3m (166)
spin magnetization = 0.0 μB/f.u.
DOS(E_F) = 0.89 states/eV/f.u.
formation energy from raw total energies = -1671 meV/atom

Unit cell a=8.406 b=8.406 c=8.406 alpha=18.43 beta=18.43 gamma=18.43
Atoms (fractional coordinates):
Si: 0.000 0.000 0.000
Cl: 0.500 0.500 0.500
O: 0.370 0.370 0.370
O: 0.630 0.630 0.630

***

The following is a PBE calculation of a geometry-optimized RbCdGa2Au structure, from the Alexandria database.

Results
space group = Imm2 (44)
spin magnetization = 0.0 μB/f.u.
DOS(E_F) = 2.00 states/eV/f.u.
energy of formation = -0.166 eV/atom

Unit cell a=6.505 b=6.505 c=6.505 alpha=136.87 beta=136.18 gamma=63.18
Atoms (fractional coordinates):
Rb: 0.000 0.000 0.000
Cd: 0.254 0.754 0.500
Ga: 0.379 0.379 0.000
Ga: 0.748 0.248 0.500
Au: 0.618 0.618 0.000

***

The following is a PBE calculation of a geometry-optimized PrDyScZn structure, from the Alexandria database.

Results
space group = P4mm (99)
spin magnetization = 0.0 μB/f.u.
DOS(E_F) = 4.28 states/eV/f.u.
energy of formation = -0.149 eV/atom

Unit cell a=3.501 b=3.501 c=8.582 alpha=90.00 beta=90.00 gamma=90.00
Atoms (fractional coordinates):
Pr: 0.000 0.000 0.000
Dy: 0.500 0.500 0.685
Sc: 0.500 0.500 0.289
Zn: 0.000 0.000 0.463

***

The following is a PBE calculation of a geometry-optimized Ho2Er2Sc7 structure, from the Alexandria database.

Results
space group = C2/m (12)
spin magnetization = 0.0 μB/f.u.
DOS(E_F) = 18.18 states/eV/f.u.
energy of formation = 0.174 eV/atom

Unit cell a=6.359 b=6.359 c=9.105 alpha=98.88 beta=98.88 gamma=121.58
Atoms (fractional coordinates):
Ho: 0.165 0.165 0.206
Ho: 0.835 0.835 0.794
Er: 0.289 0.711 0.500
Er: 0.711 0.289 0.500
Sc: 0.024 0.445 0.842
Sc: 0.246 0.246 0.615
Sc: 0.445 0.024 0.842
Sc: 0.500 0.500 0.000
Sc: 0.555 0.976 0.158
Sc: 0.754 0.754 0.385
Sc: 0.976 0.555 0.158

***

The following is a PBE calculation of a geometry-optimized PmHo2Zn4 structure, from the Alexandria database.

Results
space group = I4/mmm (139)
spin magnetization = 0.0 μB/f.u.
DOS(E_F) = 4.88 states/eV/f.u.
energy of formation = -0.142 eV/atom

Unit cell a=7.276 b=7.276 c=7.276 alpha=138.38 beta=138.38 gamma=60.32
Atoms (fractional coordinates):
Pm: 0.000 0.000 0.000
Ho: 0.275 0.275 0.000
Ho: 0.725 0.725 0.000
Zn: 0.114 0.614 0.500
Zn: 0.386 0.886 0.500
Zn: 0.614 0.114 0.500
Zn: 0.886 0.386 0.500